This record from Alexandria via LeMat-Bulk describes a relaxed structure of Hf2VH8. The functional is GGA-PBE.

Summary:
- total moment (Bohr magnetons per cell) = 0.48
- total energy (eV per atom) = -5.3221
- mass density (g cm⁻³) = 8.96
- calculated volume (Å³ per atom) = 7.0
- space group = C2/m, No. 12

a b c (Å): 5.9320 5.9320 4.5432
angles (deg): 111.71 111.71 31.48
Atoms (fractional coordinates):
Hf: 0.1599 0.1599 0.1456
Hf: 0.8401 0.8401 0.8544
V: 0.5000 0.5000 0.5000
H: 0.0071 0.0071 0.2858
H: 0.2260 0.2260 0.8094
H: 0.3410 0.3410 0.5545
H: 0.4160 0.4160 0.0848
H: 0.5840 0.5840 0.9152
H: 0.6590 0.6590 0.4455
H: 0.7740 0.7740 0.1906
H: 0.9929 0.9929 0.7142


This record from Alexandria via LeMat-Bulk describes a relaxed structure of HfV3H. The functional is GGA-PBE.

Summary:
- total moment (Bohr magnetons per cell) = 6.55
- mass density (g cm⁻³) = 4.81
- calculated volume (Å³ per atom) = 22.9
- space group = Pm-3m, No. 221
- relative energy among the computed polymorphs (eV per atom) = 2.169

a b c (Å): 4.8594 4.8594 4.8594
angles (deg): 90.00 90.00 90.00
Atoms (fractional coordinates):
Hf: 0.0000 0.0000 0.0000
V: 0.0000 0.0000 0.5000
V: 0.0000 0.5000 0.0000
V: 0.5000 0.0000 0.0000
H: 0.5000 0.5000 0.5000


This record from Alexandria via LeMat-Bulk describes a relaxed structure of HfV2H2. The functional is GGA-PBE.

Summary:
- total moment (Bohr magnetons per cell) = 0.00
- total energy (eV per atom) = -7.1126
- mass density (g cm⁻³) = 8.76
- calculated volume (Å³ per atom) = 10.7
- space group = I4/mmm, No. 139

a b c (Å): 5.4816 5.4816 5.4816
angles (deg): 145.16 145.16 50.10
Atoms (fractional coordinates):
Hf: 0.0000 0.0000 0.0000
V: 0.3280 0.3280 0.0000
V: 0.6720 0.6720 0.0000
H: 0.2500 0.7500 0.5000
H: 0.7500 0.2500 0.5000


This record from Alexandria via LeMat-Bulk describes a relaxed structure of Hf5V2H12. The functional is GGA-PBE.

Summary:
- total moment (Bohr magnetons per cell) = 0.00
- total energy (eV per atom) = -5.9817
- mass density (g cm⁻³) = 9.86
- calculated volume (Å³ per atom) = 8.9
- space group = C2/m, No. 12

a b c (Å): 5.6455 5.6455 6.4646
angles (deg): 101.98 101.98 57.82
Atoms (fractional coordinates):
Hf: 0.0000 0.0000 0.0000
Hf: 0.2743 0.2743 0.6560
Hf: 0.3438 0.3438 0.1314
Hf: 0.6562 0.6562 0.8686
Hf: 0.7257 0.7257 0.3440
V: 0.2376 0.7624 0.5000
V: 0.7624 0.2376 0.5000
H: 0.0624 0.5961 0.9009
H: 0.0872 0.0872 0.3861
H: 0.1346 0.5102 0.3979
H: 0.4039 0.9376 0.0991
H: 0.4755 0.4755 0.6626
H: 0.4898 0.8654 0.6021
H: 0.5102 0.1346 0.3979
H: 0.5245 0.5245 0.3374
H: 0.5961 0.0624 0.9009
H: 0.8654 0.4898 0.6021
H: 0.9128 0.9128 0.6139
H: 0.9376 0.4039 0.0991


This record from Alexandria via LeMat-Bulk describes a relaxed structure of Hf2V2H7. The functional is GGA-PBE.

Summary:
- total moment (Bohr magnetons per cell) = 0.00
- total energy (eV per atom) = -5.8941
- mass density (g cm⁻³) = 8.86
- calculated volume (Å³ per atom) = 7.9
- space group = C2/m, No. 12

a b c (Å): 4.6458 4.6458 4.0523
angles (deg): 90.11 90.11 86.73
Atoms (fractional coordinates):
Hf: 0.2399 0.7601 0.0000
Hf: 0.7601 0.2399 0.0000
V: 0.2584 0.2584 0.4999
V: 0.7416 0.7416 0.5001
H: 0.0000 0.0000 0.5000
H: 0.0003 0.5005 0.2682
H: 0.9997 0.4995 0.7318
H: 0.5005 0.0003 0.2682
H: 0.4995 0.9997 0.7318
H: 0.4997 0.4997 0.2738
H: 0.5003 0.5003 0.7262


This record from Alexandria via LeMat-Bulk describes a relaxed structure of Hf3VH8. The functional is GGA-PBE.

Summary:
- total moment (Bohr magnetons per cell) = 1.77
- total energy (eV per atom) = -5.9002
- mass density (g cm⁻³) = 10.08
- calculated volume (Å³ per atom) = 8.2
- space group = I4/mmm, No. 139

a b c (Å): 5.7448 5.7448 5.7448
angles (deg): 133.53 133.53 67.83
Atoms (fractional coordinates):
Hf: 0.0000 0.0000 0.0000
Hf: 0.2500 0.7500 0.5000
Hf: 0.7500 0.2500 0.5000
V: 0.5000 0.5000 0.0000
H: 0.1415 0.1415 0.5207
H: 0.1415 0.6208 0.0000
H: 0.3792 0.3792 0.5207
H: 0.3792 0.8585 0.0000
H: 0.6208 0.1415 0.0000
H: 0.6208 0.6208 0.4793
H: 0.8585 0.3792 0.0000
H: 0.8585 0.8585 0.4793